The following is a DFT calculation (PBE) of a relaxed structure of Ce6NiPt3.

Output
ΔH_f (0 K), eV/atom: -0.62
Energy, eV/atom: -6.5663
Spin magnetization, μB/f.u.: 5.83

Cell: 6.686 7.550 12.316 Å, 90.00 121.17 90.00°
Sites, in units of the cell vectors:
Ce 0.080 0.183 0.424
Ce 0.080 0.317 0.924
Ce 0.258 0.668 0.423
Ce 0.258 0.832 0.923
Ce 0.406 0.054 0.244
Ce 0.406 0.446 0.744
Ce 0.594 0.554 0.256
Ce 0.594 0.946 0.756
Ce 0.742 0.168 0.077
Ce 0.742 0.332 0.577
Ce 0.920 0.683 0.076
Ce 0.920 0.817 0.576
Ni 0.000 0.000 0.000
Ni 0.000 0.500 0.500
Pt 0.181 0.118 0.740
Pt 0.181 0.382 0.240
Pt 0.500 0.000 0.500
Pt 0.500 0.500 0.000
Pt 0.819 0.618 0.760
Pt 0.819 0.882 0.260

***

The following is a DFT calculation (PBE) of a relaxed structure of BaAc2Pm.

Output
ΔH_f (0 K), eV/atom: 0.14
Energy, eV/atom: -3.5834
Spin magnetization, μB/f.u.: 0.00
Relative energy among the computed polymorphs, meV/atom: 78

Cell: 5.618 5.618 5.621 Å, 90.00 90.00 90.00°
Sites, in units of the cell vectors:
Ba 0.000 0.000 0.000
Ac 0.000 0.500 0.500
Ac 0.500 0.000 0.500
Pm 0.500 0.500 0.000

***

The following is a DFT calculation (PBE) of a relaxed structure of PbSeF2.

Output
Formation energy without anion corrections, eV per atom: -0.9781
Energy, eV/atom: -3.7119
Spin magnetization, μB/f.u.: 2.00
Relative energy among the computed polymorphs, meV/atom: 195

Cell: 4.645 4.645 4.645 Å, 60.00 60.00 60.00°
Sites, in units of the cell vectors:
Pb 0.000 0.000 0.000
Se 0.500 0.500 0.500
F 0.250 0.250 0.250
F 0.750 0.750 0.750

***

The following is a DFT calculation (PBE) of a relaxed structure of Li2YTaMn.

Output
ΔH_f (0 K), eV/atom: 2.06
Energy, eV/atom: -4.2050
Spin magnetization, μB/f.u.: 0.01

Cell: 4.350 4.350 5.081 Å, 90.00 90.00 90.00°
Sites, in units of the cell vectors:
Li 0.000 0.500 0.000
Li 0.500 0.000 0.000
Y 0.000 0.000 0.000
Ta 0.000 0.000 0.500
Mn 0.500 0.500 0.500

***

The following is a DFT calculation (PBE) of a relaxed structure of NaPmBi.

Output
ΔH_f (0 K), eV/atom: -0.25
Energy, eV/atom: -3.5627
Spin magnetization, μB/f.u.: 0.08
Relative energy among the computed polymorphs, meV/atom: 142

Cell: 8.216 8.216 8.216 Å, 155.12 155.12 35.47°
Sites, in units of the cell vectors:
Na 0.000 0.000 0.000
Pm 0.305 0.305 0.000
Bi 0.658 0.658 0.000